Entry 1:
Below is a relaxed CeY3F crystal, with properties calculated at the PBE-GGA level.

Summary:
For the uncorrected formation energy, the calculation gives -81.6 kJ/mol of atoms.

Structure (POSCAR):
```
CeY3F
1.0
-4.4959 -1.3742 -1.9006
0.2240 -4.3420 2.6097
-2.3346 2.2298 3.9104
F Y Ce
1 3 1
direct
0.0000 0.0000 0.0000
0.5000 0.0000 0.0000
0.0000 0.0000 0.5000
0.0000 0.5000 0.0000
0.5000 0.5000 0.5000
```


Entry 2:
Below is a relaxed TlSbIr2 crystal, with properties calculated at the PBE-GGA level.

Summary:
For the excess energy over the best structure of this formula in the dataset, the calculation gives 0.0657 eV per atom. For the uncorrected formation energy, the calculation gives 36.9 kJ/mol of atoms.

Structure (POSCAR):
```
TlSbIr2
1.0
-3.0070 -1.6705 3.9880
-1.7596 -1.6562 -2.0204
2.7674 -3.6289 0.5666
Sb Ir Tl
1 2 1
direct
0.0000 0.3752 0.4618
0.5000 0.3750 0.2764
0.0000 0.8748 0.9851
0.5000 0.8751 0.7767
```


Entry 3:
Below is a relaxed DyNi3P2 crystal, with properties calculated at the PBE-GGA level.

Summary:
The energy relative to the elements comes out at -0.884 eV per atom. For the excess energy over the best structure of this formula in the dataset, the calculation gives 0.0484 eV per atom.

Structure (POSCAR):
```
DyNi3P2
1.0
-2.1944 -3.0389 0.0767
6.8374 -2.6174 0.2859
-2.4899 1.9506 6.0483
Ni Dy P
6 2 4
direct
0.5985 0.1969 0.6868
0.0427 0.0854 0.3666
0.9573 0.9146 0.6334
0.3167 0.6334 0.5654
0.4015 0.8031 0.3132
0.6833 0.3666 0.4346
0.8460 0.6919 0.9306
0.1540 0.3081 0.0694
0.5190 0.0380 0.1779
0.1887 0.3774 0.6776
0.8113 0.6226 0.3224
0.4810 0.9620 0.8221
```


Entry 4:
Below is a relaxed LaSc2N crystal, with properties calculated at the PBE-GGA level.

Summary:
For the uncorrected formation energy, the calculation gives -61.3 kJ/mol of atoms.

Structure (POSCAR):
```
LaSc2N
1.0
6.6853 0.0000 0.0000
0.0000 6.6853 0.0000
3.3426 3.3426 4.7252
N Sc La
2 4 2
direct
0.5000 0.5000 0.0000
0.2500 0.7500 0.5000
0.8750 0.6252 0.7500
0.3750 0.6248 0.7500
0.3748 0.6250 0.2500
0.3752 0.1250 0.2500
0.7500 0.2500 0.5000
0.0000 0.0000 0.0000
```


Entry 5:
Below is a relaxed NaCo3P crystal, with properties calculated at the PBE-GGA level.

Summary:
The energy relative to the elements comes out at 0.261 eV per atom. For the excess energy over the best structure of this formula in the dataset, the calculation gives 0.0000 eV per atom.

Structure (POSCAR):
```
NaCo3P
1.0
4.2428 0.0000 0.0000
0.0000 4.2428 0.0000
0.0000 0.0000 4.2428
P Co Na
1 3 1
direct
0.0000 0.0000 0.0000
0.0000 0.5000 0.0000
0.5000 0.0000 0.0000
0.0000 0.0000 0.5000
0.5000 0.5000 0.5000
```


Entry 6:
Below is a relaxed GaSeCl2 crystal, with properties calculated at the PBE-GGA level.

Summary:
For the excess energy over the best structure of this formula in the dataset, the calculation gives 0.1591 eV per atom. For the uncorrected formation energy, the calculation gives -2.2 kJ/mol of atoms.

Structure (POSCAR):
```
GaSeCl2
1.0
-2.9039 2.8400 -6.7255
-7.0199 0.9014 3.4116
-3.5898 6.8466 -0.1482
Ga Cl Se
2 4 2
direct
0.2500 0.7500 0.5000
0.5000 0.5000 0.0000
0.8750 0.6310 0.7500
0.3690 0.6250 0.2500
0.3810 0.1250 0.2500
0.3750 0.6190 0.7500
0.0000 0.0000 0.0000
0.7500 0.2500 0.5000
```


| no. | DOS at the Fermi energy (states/eV/atom) |
| --- | --- |
| 1 | 1.79 |
| 2 | 0.52 |
| 3 | 0.73 |
| 4 | 1.45 |
| 5 | 1.50 |
| 6 | 1.32 |